The following is a DFT calculation (GGA-PBE) of crystalline Hf2Nb2Ir at its relaxed geometry.

a b c (Å): 6.7197 6.7197 4.4325
angles (deg): 90.00 90.00 90.00
Space group P4/mbm (No. 127)
Symmetry-distinct sites (fractional):
Hf 0.1670 0.3330 0.0000 (multiplicity 4)
Nb 0.1446 0.6446 0.5000 (multiplicity 4)
Ir 0.0000 0.0000 0.5000 (multiplicity 2)

As for the density of states at the Fermi level: 1.05 states/eV per atom. The crystal system is tetragonal. The energy of formation comes out at -0.0146 eV per atom. For the calculated volume, the calculation gives 200.1 Å³/cell.



The following is a DFT calculation (GGA-PBE) of crystalline NaLi3S at its relaxed geometry.

a b c (Å): 4.8465 4.8465 4.8465
angles (deg): 90.00 90.00 90.00
Space group Pm-3m (No. 221)
Symmetry-distinct sites (fractional):
Na 0.0000 0.0000 0.0000 (multiplicity 1)
Li 0.0000 0.0000 0.5000 (multiplicity 3)
S 0.5000 0.5000 0.5000 (multiplicity 1)

As for the density of states at the Fermi level: 0.00 states/eV per atom. For the uncorrected formation energy, the calculation gives 251.3 meV per atom. The crystal system is cubic. For the calculated volume, the calculation gives 113.8 Å³/cell. As for the relative energy among the computed polymorphs: 861 meV per atom.



The following is a DFT calculation (GGA-PBE) of crystalline LiBN2F at its relaxed geometry.

a b c (Å): 4.0028 4.0028 3.3121
angles (deg): 90.00 90.00 90.00
Space group P4/mmm (No. 123)
Symmetry-distinct sites (fractional):
Li 0.0000 0.0000 0.0000 (multiplicity 1)
B 0.5000 0.5000 0.5000 (multiplicity 1)
N 0.0000 0.5000 0.0000 (multiplicity 2)
F 0.0000 0.0000 0.5000 (multiplicity 1)

As for the density of states at the Fermi level: 0.40 states/eV per atom. For the uncorrected formation energy, the calculation gives 1854.7 meV per atom. The crystal system is tetragonal. For the calculated volume, the calculation gives 53.1 Å³/cell. As for the relative energy among the computed polymorphs: 2127 meV per atom.



The following is a DFT calculation (GGA-PBE) of crystalline AlBiRh at its relaxed geometry.

a b c (Å): 3.9293 3.9293 7.4780
angles (deg): 90.00 90.00 90.00
Space group P4/nmm (No. 129, origin choice 2)
Symmetry-distinct sites (fractional):
Al 0.2500 0.7500 0.0000 (multiplicity 2)
Bi 0.2500 0.2500 0.3627 (multiplicity 2)
Rh 0.2500 0.2500 0.7801 (multiplicity 2)

As for the density of states at the Fermi level: 0.46 states/eV per atom. The crystal system is tetragonal. The energy of formation comes out at -0.4946 eV per atom. For the calculated volume, the calculation gives 115.5 Å³/cell.



The following is a DFT calculation (GGA-PBE) of crystalline NiTe2I at its relaxed geometry.

a b c (Å): 5.4798 5.4798 3.3525
angles (deg): 90.00 90.00 90.00
Space group P4/mmm (No. 123)
Symmetry-distinct sites (fractional):
Ni 0.0000 0.0000 0.0000 (multiplicity 1)
Te 0.0000 0.5000 0.5000 (multiplicity 2)
I 0.5000 0.5000 0.0000 (multiplicity 1)

As for the density of states at the Fermi level: 0.86 states/eV per atom. For the uncorrected formation energy, the calculation gives 745.3 meV per atom. The crystal system is tetragonal. For the calculated volume, the calculation gives 100.7 Å³/cell.



The following is a DFT calculation (GGA-PBE) of crystalline MgScPtO4 at its relaxed geometry.

a b c (Å): 6.1992 6.2171 9.0466
angles (deg): 90.00 90.00 90.00
Space group Imma (No. 74)
Symmetry-distinct sites (fractional):
Mg 0.0000 0.2500 0.1220 (multiplicity 4)
Sc 0.2500 0.2500 0.7500 (multiplicity 4)
Pt 0.0000 0.0000 0.5000 (multiplicity 4)
O 0.0000 0.0236 0.7690 (multiplicity 8)
O 0.2229 0.2500 0.5076 (multiplicity 8)

As for the density of states at the Fermi level: 0.09 states/eV per atom. For the uncorrected formation energy, the calculation gives -2042.5 meV per atom. The crystal system is orthorhombic. For the calculated volume, the calculation gives 348.7 Å³/cell.



| no. | VASP energy (eV/atom) |
| --- | --- |
| 1 | -9.796 |
| 2 | -1.986 |
| 3 | -3.568 |
| 4 | -5.486 |
| 5 | -2.658 |
| 6 | -6.871 |